Mn4H: optimized geometry, PBE.

```
10
Lattice="2.532 -4.387 0.000 2.532 4.387 0.000 0.000 0.000 4.035" Properties=species:S:1:pos:R:3 pbc="T T T"
Mn 1.266 0.776 3.026
Mn 2.532 2.895 3.054
Mn 2.532 1.491 1.036
Mn 1.266 -0.776 1.009
Mn 3.797 0.776 3.026
Mn 2.532 -1.491 2.999
Mn 2.532 -2.895 0.981
Mn 3.797 -0.776 1.009
H 0.000 0.000 2.017
H 2.532 0.000 0.000
```

Results
Volume in Å³ per cell: 89.6
VASP energy in eV for the cell shown: -80.01